1.
Here is a geometry-optimized Ac2Zn5Ag structure from Alexandria. Energies are from PBE.

Structure (POSCAR):
```
Ac2Zn5Ag
1.0
4.5653 0.0000 0.0000
-2.2827 8.5989 0.0000
0.0000 0.0000 9.3631
Ac Zn Ag
4 10 2
Direct
0.7964 0.5928 0.7500 Ac
0.2036 0.4072 0.2500 Ac
0.0000 0.0000 0.0000 Ac
0.0000 0.0000 0.5000 Ac
0.1830 0.3661 0.8899 Zn
0.8170 0.6339 0.1101 Zn
0.1830 0.3661 0.6101 Zn
0.8170 0.6339 0.3899 Zn
0.3459 0.6917 0.9866 Zn
0.6541 0.3083 0.0134 Zn
0.3459 0.6917 0.5134 Zn
0.6541 0.3083 0.4866 Zn
0.5990 0.1981 0.7500 Zn
0.4010 0.8019 0.2500 Zn
0.4431 0.8863 0.7500 Ag
0.5569 0.1137 0.2500 Ag
```

## Properties
The total energy comes out at -39.5 eV/cell. The calculation puts the formation energy at -289 meV/atom. The calculation puts the total magnetic moment at 0.00 μB/f.u.

***

2.
Here is a geometry-optimized Pa2Be4ReSi3 structure from Alexandria. Energies are from PBE.

Structure (POSCAR):
```
Pa2Be4ReSi3
1.0
3.8763 0.0000 0.0000
0.0000 3.8763 0.0000
0.0000 0.0000 9.6579
Pa Be Re Si
2 4 1 3
Direct
0.5000 0.0000 0.2519 Pa
0.0000 0.5000 0.7481 Pa
0.5000 0.5000 0.0000 Be
0.0000 0.0000 0.0000 Be
0.5000 0.0000 0.6358 Be
0.0000 0.5000 0.3642 Be
0.5000 0.5000 0.5000 Re
0.0000 0.0000 0.5000 Si
0.5000 0.0000 0.8704 Si
0.0000 0.5000 0.1296 Si
```

## Properties
The total energy comes out at -65.5 eV/cell. The value obtained for the uncorrected formation energy is -0.288 eV per atom. The calculation puts the total magnetic moment at 0.00 μB/f.u.

***

3.
Here is a geometry-optimized Cd2NiMo structure from Alexandria. Energies are from PBE.

Structure (POSCAR):
```
Cd2NiMo
1.0
-1.9285 3.0464 -3.1049
-0.3425 1.2668 -4.5736
-4.4088 -2.9034 -1.2429
Cd Mo Ni
2 1 1
Direct
0.9931 0.9931 0.0028 Cd
0.7519 0.7519 0.7388 Cd
0.5072 0.5072 0.4664 Mo
0.2478 0.2478 0.2920 Ni
```

## Properties
The total energy comes out at -17.0 eV/cell. The calculation puts the formation energy at 370 meV/atom. The calculation puts the polymorph energy (0 for the lowest one) at 92 kJ/mol of formula units. The calculation puts the total magnetic moment at 0.00 μB/f.u.

***

4.
Here is a geometry-optimized ZrVGa2 structure from Alexandria. Energies are from PBE.

Structure (POSCAR):
```
ZrVGa2
1.0
4.1070 0.0000 0.0000
0.0000 4.0162 0.0000
0.0000 0.0000 4.0162
Ga Zr V
2 1 1
Direct
0.0000 0.0000 0.5000 Ga
0.0000 0.5000 0.0000 Ga
0.5000 0.5000 0.5000 Zr
0.5000 0.0000 0.0000 V
```

## Properties
The total energy comes out at -24.9 eV/cell. The calculation puts the formation energy at -305 meV/atom. The calculation puts the polymorph energy (0 for the lowest one) at 27 kJ/mol of formula units. The calculation puts the total magnetic moment at 0.01 μB/f.u.

***

5.
Here is a geometry-optimized AlTc2Ir structure from Alexandria. Energies are from PBE.

Structure (POSCAR):
```
AlTc2Ir
1.0
-4.8836 2.1054 -4.7584
-1.2291 -6.8080 -1.7507
-4.8598 -2.4863 -1.4635
Ir Tc Al
2 4 2
Direct
0.0000 0.0000 0.0000 Ir
0.7500 0.2500 0.5000 Ir
0.6437 0.1250 0.2500 Tc
0.1063 0.6250 0.2500 Tc
0.3750 0.3563 0.7500 Tc
0.8750 0.8937 0.7500 Tc
0.5000 0.5000 0.0000 Al
0.2500 0.7500 0.5000 Al
```

## Properties
The total energy comes out at -63.1 eV/cell. The calculation puts the formation energy at 448 meV/atom. The calculation puts the total magnetic moment at 0.00 μB/f.u.

***

6.
Here is a geometry-optimized Ba3Mo structure from Alexandria. Energies are from PBE.

Structure (POSCAR):
```
Ba3Mo
1.0
4.0976 0.0043 0.0000
-0.0059 4.0976 0.0000
0.0000 0.0000 10.7952
Ba Mo
3 1
Direct
0.0000 0.0000 0.0682 Ba
0.5000 0.5000 0.7500 Ba
0.0000 0.0000 0.4318 Ba
0.5000 0.5000 0.2500 Mo
```

## Properties
The total energy comes out at -13.5 eV/cell. The calculation puts the formation energy at 786 meV/atom. The calculation puts the polymorph energy (0 for the lowest one) at 8 kJ/mol of formula units. The calculation puts the total magnetic moment at 2.34 μB/f.u.

***

7.
Here is a geometry-optimized TaMnP2S structure from Alexandria. Energies are from PBE.

Structure (POSCAR):
```
TaMnP2S
1.0
-0.1325 -4.2950 -0.8228
1.0846 0.7652 -4.1689
4.3103 -0.3360 1.0597
P S Mn Ta
2 1 1 1
Direct
0.0000 0.5000 0.0000 P
0.5000 0.0000 0.0000 P
0.0000 0.0000 0.5000 S
0.0000 0.0000 0.0000 Mn
0.5000 0.5000 0.5000 Ta
```

## Properties
The total energy comes out at -32.7 eV/cell. The calculation puts the polymorph energy (0 for the lowest one) at 0 kJ/mol of formula units. The value obtained for the uncorrected formation energy is 0.646 eV per atom. The calculation puts the total magnetic moment at 3.84 μB/f.u.

***

8.
Here is a geometry-optimized LaTl2Sn structure from Alexandria. Energies are from PBE.

Structure (POSCAR):
```
LaTl2Sn
1.0
5.0637 0.0000 0.0000
0.0000 4.7683 0.0000
0.0000 0.0000 4.7683
Tl Sn La
2 1 1
Direct
0.0000 0.0000 0.5000 Tl
0.0000 0.5000 0.0000 Tl
0.5000 0.5000 0.5000 Sn
0.5000 0.0000 0.0000 La
```

## Properties
The total energy comes out at -15.4 eV/cell. The calculation puts the formation energy at -438 meV/atom. The calculation puts the polymorph energy (0 for the lowest one) at 0 kJ/mol of formula units. The calculation puts the total magnetic moment at 0.00 μB/f.u.

***

Question: Which value of total magnetic moment does entry 4 give?
Answer: 0.01 μB/f.u.

***

Question: Which of these has the highest total magnetic moment?
Answer: TaMnP2S

***

Question: Number 3 is which compound?
Answer: Cd2NiMo